Computed, not measured: a PBEsol-optimized structure of LaTiNbO6 at the meta-GGA SCAN level of DFT.

Geometry as POSCAR:
```
LaTiNbO6
1.0
5.418 0.000 0.000
0.000 7.541 0.000
0.000 0.000 11.008
Ti O Nb La
4 24 4 4
Cartesian
0.174 3.823 1.541
2.535 3.823 7.045
5.244 0.052 9.467
2.884 0.052 3.963
2.945 1.904 7.089
3.548 1.863 4.149
4.176 7.264 0.288
2.036 0.427 2.338
0.838 5.633 1.355
0.674 0.427 7.842
0.718 3.336 7.791
4.745 4.198 3.166
1.242 3.494 10.720
4.580 1.863 9.653
4.700 7.107 3.217
3.427 7.107 8.721
5.182 1.904 1.585
1.871 5.633 6.859
1.991 3.336 2.287
0.236 5.675 9.423
3.383 4.198 8.670
1.456 0.279 5.202
4.166 4.049 0.302
1.253 0.279 10.706
3.951 7.264 5.792
2.473 5.675 3.919
3.962 4.049 5.806
1.467 3.494 5.216
2.502 7.499 7.125
0.207 7.499 1.621
5.211 3.728 9.387
2.917 3.728 3.883
2.945 1.885 0.461
5.183 1.885 5.965
0.236 5.655 5.043
2.474 5.655 10.547
```

Output
- spin magnetization (μB/cell) = 0.00
- polymorph energy (0 for the lowest one) (meV per atom) = 0.0
- crystal system = orthorhombic
- energy relative to the elements, uncorrected (eV/atom) = -3.35